DFT (meta-GGA SCAN) results for OsBrNO2 at its PBEsol-relaxed geometry.

```
5
Lattice="3.619 0.000 0.000 0.000 3.619 0.000 0.000 0.000 4.775" Properties=species:S:1:pos:R:3 pbc="T T T"
Os 1.810 1.810 2.388
O 0.000 1.810 0.000
O 1.810 0.000 0.000
Br 0.000 0.000 0.000
N 0.000 0.000 2.388
```

## Properties
The raw total energy is -20.527 eV/atom. The density of states at the Fermi level comes out at 4.5 states/eV/cell. Its formation energy from raw total energies is 48.2 kcal/mol of atoms.

DFT (meta-GGA SCAN) results for Zn2AgPt at its PBEsol-relaxed geometry.

```
4
Lattice="-2.588 -2.484 -0.989 2.639 -2.595 -0.389 -0.512 1.440 4.723" Properties=species:S:1:pos:R:3 pbc="T T T"
Zn 0.000 0.000 0.000
Zn -1.537 -1.792 1.522
Ag 0.026 -2.539 -0.689
Pt 1.076 -1.847 1.823
```

## Properties
The raw total energy is -32.428 eV/atom. The value obtained for the formation energy is -27 kJ per mole of atoms. The density of states at the Fermi level comes out at 1.2 states/eV/cell.

DFT (meta-GGA SCAN) results for Hf2SiAsF at its PBEsol-relaxed geometry.

```
5
Lattice="-4.437 -0.595 0.667 0.935 -4.140 2.526 0.278 2.614 4.182" Properties=species:S:1:pos:R:3 pbc="T T T"
As 0.000 0.000 0.000
Hf 0.139 1.307 2.091
Hf 0.467 -2.070 1.263
Si -2.218 -0.297 0.333
F -1.612 -1.060 3.687
```

## Properties
The raw total energy is -31.342 eV/atom. The density of states at the Fermi level comes out at 3.6 states/eV/cell. Its formation energy from raw total energies is 11.0 kcal/mol of atoms.

Question: Which value of density of states at the Fermi level does entry 2 give?
Answer: 1.2 states/eV/cell